1.
This record from Alexandria via LeMat-Bulk describes an optimized crystal structure of AlZn5Au8. The functional is PBE.

Unit cell a=6.8444 b=6.8444 c=6.8444 alpha=109.74 beta=109.74 gamma=108.93
Atoms (fractional coordinates):
1 Al 0.0000 0.0000 0.0000
2 Zn 0.2470 0.6254 0.1327
3 Zn 0.3746 0.5074 0.6216
4 Zn 0.4926 0.1143 0.8673
5 Zn 0.7500 0.2500 0.5000
6 Zn 0.8857 0.7530 0.3784
7 Au 0.1188 0.7079 0.7545
8 Au 0.1289 0.2157 0.7533
9 Au 0.2921 0.0466 0.4109
10 Au 0.4624 0.3756 0.2467
11 Au 0.6244 0.8711 0.0868
12 Au 0.6356 0.8812 0.5891
13 Au 0.7843 0.5376 0.9132
14 Au 0.9534 0.3644 0.2455

## Properties
Space-group type: No. 82
Density: 12.984 g cm⁻³
ΔH_f (0 K): -2.00 eV/f.u.

=====

2.
This record from Alexandria via LeMat-Bulk describes an optimized crystal structure of Mn5BeV2B2. The functional is PBE.

Unit cell a=8.3581 b=8.3581 c=2.8968 alpha=90.00 beta=90.00 gamma=90.00
Atoms (fractional coordinates):
1 Mn 0.0000 0.5000 0.0000
2 Mn 0.0676 0.2069 0.0000
3 Mn 0.2069 0.9324 0.0000
4 Mn 0.2931 0.4324 0.0000
5 Mn 0.4324 0.7069 0.0000
6 Mn 0.5000 0.0000 0.0000
7 Mn 0.5676 0.2931 0.0000
8 Mn 0.7069 0.5676 0.0000
9 Mn 0.7931 0.0676 0.0000
10 Mn 0.9324 0.7931 0.0000
11 Be 0.0000 0.0000 0.5000
12 Be 0.5000 0.5000 0.5000
13 V 0.1729 0.6729 0.5000
14 V 0.3271 0.1729 0.5000
15 V 0.6729 0.8271 0.5000
16 V 0.8271 0.3271 0.5000
17 B 0.1278 0.3722 0.5000
18 B 0.3722 0.8722 0.5000
19 B 0.6278 0.1278 0.5000
20 B 0.8722 0.6278 0.5000

## Properties
Space-group type: No. 127
Density: 6.683 g cm⁻³
ΔH_f (0 K): -3.15 eV/f.u.

=====

3.
This record from Alexandria via LeMat-Bulk describes an optimized crystal structure of TlRh2W. The functional is PBE.

Unit cell a=4.2280 b=4.2280 c=3.7230 alpha=90.00 beta=90.00 gamma=90.00
Atoms (fractional coordinates):
1 Tl 0.0000 0.0000 0.0000
2 Rh 0.0000 0.5000 0.5000
3 Rh 0.5000 0.0000 0.5000
4 W 0.5000 0.5000 0.0000

## Properties
Polymorph energy (0 for the lowest one): 1.92 eV/f.u.
Space-group type: No. 123
Density: 14.822 g cm⁻³
ΔH_f (0 K): 1.86 eV/f.u.

=====

4.
This record from Alexandria via LeMat-Bulk describes an optimized crystal structure of NaMn3As3. The functional is PBE.

Unit cell a=8.3488 b=8.3488 c=8.3488 alpha=47.20 beta=47.20 gamma=47.20
Atoms (fractional coordinates):
1 Na 0.1663 0.1663 0.1663
2 Na 0.8337 0.8337 0.8337
3 Mn 0.0295 0.7117 0.3662
4 Mn 0.2883 0.6338 0.9705
5 Mn 0.3662 0.0295 0.7117
6 Mn 0.6338 0.9705 0.2883
7 Mn 0.7117 0.3662 0.0295
8 Mn 0.9705 0.2883 0.6338
9 As 0.0836 0.4096 0.7283
10 As 0.2717 0.9164 0.5904
11 As 0.4096 0.7283 0.0836
12 As 0.5904 0.2717 0.9164
13 As 0.7283 0.0836 0.4096
14 As 0.9164 0.5904 0.2717

## Properties
Space-group type: No. 148
Density: 4.782 g cm⁻³
ΔH_f (0 K): -0.82 eV/f.u.

=====

5.
This record from Alexandria via LeMat-Bulk describes an optimized crystal structure of Ce2NpAl. The functional is PBE.

Unit cell a=8.4346 b=8.4346 c=8.4346 alpha=24.66 beta=24.66 gamma=24.66
Atoms (fractional coordinates):
1 Ce 0.2315 0.2315 0.2315
2 Ce 0.7685 0.7685 0.7685
3 Np 0.5000 0.5000 0.5000
4 Al 0.0000 0.0000 0.0000

## Properties
Polymorph energy (0 for the lowest one): 0.82 eV/f.u.
Space-group type: No. 166
Density: 9.837 g cm⁻³
ΔH_f (0 K): 0.93 eV/f.u.

=====

6.
This record from Alexandria via LeMat-Bulk describes an optimized crystal structure of LaI2Cl. The functional is PBE.

Unit cell a=9.0744 b=9.0744 c=9.0744 alpha=130.48 beta=130.48 gamma=72.63
Atoms (fractional coordinates):
1 La 0.0000 0.0000 0.0000
2 La 0.7500 0.2500 0.5000
3 I 0.0787 0.6250 0.9537
4 I 0.3750 0.3287 0.4537
5 I 0.6713 0.1250 0.0463
6 I 0.8750 0.9213 0.5463
7 Cl 0.2500 0.7500 0.5000
8 Cl 0.5000 0.5000 0.0000

## Properties
Polymorph energy (0 for the lowest one): 3.24 eV/f.u.
Formation energy without anion corrections: -1014 meV/atom
Space-group type: No. 122
Density: 3.367 g cm⁻³

=====

7.
This record from Alexandria via LeMat-Bulk describes an optimized crystal structure of NiAuBr2. The functional is PBE.

Unit cell a=5.6462 b=5.6462 c=5.6462 alpha=145.93 beta=104.05 gamma=85.92
Atoms (fractional coordinates):
1 Ni 0.0000 0.0000 0.0000
2 Au 0.5000 0.5000 0.0000
3 Br 0.2040 0.7040 0.5000
4 Br 0.7960 0.2960 0.5000

## Properties
Polymorph energy (0 for the lowest one): 0.92 eV/f.u.
Formation energy without anion corrections: 222 meV/atom
Space-group type: No. 71
Density: 7.263 g cm⁻³

=====

8.
This record from Alexandria via LeMat-Bulk describes an optimized crystal structure of Pr8Ir3RhBr4. The functional is PBE.

Unit cell a=9.2286 b=9.2286 c=9.2286 alpha=53.98 beta=53.98 gamma=53.98
Atoms (fractional coordinates):
1 Pr 0.2306 0.7323 0.7323
2 Pr 0.2317 0.2317 0.2317
3 Pr 0.2677 0.2677 0.7694
4 Pr 0.2677 0.7694 0.2677
5 Pr 0.7323 0.2306 0.7323
6 Pr 0.7323 0.7323 0.2306
7 Pr 0.7683 0.7683 0.7683
8 Pr 0.7694 0.2677 0.2677
9 Ir 0.0000 0.0000 0.5000
10 Ir 0.0000 0.5000 0.0000
11 Ir 0.5000 0.0000 0.0000
12 Rh 0.5000 0.5000 0.5000
13 Br 0.0000 0.0000 0.0000
14 Br 0.0000 0.5000 0.5000
15 Br 0.5000 0.0000 0.5000
16 Br 0.5000 0.5000 0.0000

## Properties
Formation energy without anion corrections: -1082 meV/atom
Space-group type: No. 166
Density: 7.393 g cm⁻³

=====

9.
This record from Alexandria via LeMat-Bulk describes an optimized crystal structure of MnAl2Co. The functional is PBE.

Unit cell a=5.3540 b=5.3540 c=5.3540 alpha=103.81 beta=103.81 gamma=121.51
Atoms (fractional coordinates):
1 Mn 0.0000 0.0000 0.0000
2 Mn 0.7500 0.2500 0.5000
3 Al 0.1473 0.6250 0.0223
4 Al 0.3750 0.3973 0.5223
5 Al 0.6027 0.1250 0.9777
6 Al 0.8750 0.8527 0.4777
7 Co 0.2500 0.7500 0.5000
8 Co 0.5000 0.5000 0.0000

## Properties
Space-group type: No. 122
Density: 4.882 g cm⁻³
ΔH_f (0 K): 0.65 eV/f.u.

=====

10.
This record from Alexandria via LeMat-Bulk describes an optimized crystal structure of CuNi2AuC. The functional is PBE.

Unit cell a=3.7966 b=3.7966 c=4.0222 alpha=90.00 beta=90.00 gamma=90.00
Atoms (fractional coordinates):
1 Cu 0.0000 0.0000 0.0000
2 Ni 0.0000 0.5000 0.5000
3 Ni 0.5000 0.0000 0.5000
4 Au 0.5000 0.5000 0.0000
5 C 0.0000 0.0000 0.5000

## Properties
Space-group type: No. 123
Density: 11.167 g cm⁻³
ΔH_f (0 K): 0.76 eV/f.u.

=====

11.
This record from Alexandria via LeMat-Bulk describes an optimized crystal structure of PmPa2Au6. The functional is PBE.

Unit cell a=8.3546 b=8.3546 c=3.2023 alpha=90.00 beta=90.00 gamma=120.00
Atoms (fractional coordinates):
1 Pm 0.0000 0.0000 0.0000
2 Pa 0.3333 0.6667 0.0000
3 Pa 0.6667 0.3333 0.0000
4 Au 0.0000 0.3344 0.5000
5 Au 0.0000 0.6656 0.5000
6 Au 0.3344 0.0000 0.5000
7 Au 0.3344 0.3344 0.5000
8 Au 0.6656 0.0000 0.5000
9 Au 0.6656 0.6656 0.5000

## Properties
Space-group type: No. 191
Density: 15.345 g cm⁻³
ΔH_f (0 K): -5.02 eV/f.u.

=====

12.
This record from Alexandria via LeMat-Bulk describes an optimized crystal structure of BaLi4Tc. The functional is PBE.

Unit cell a=5.6119 b=5.6119 c=5.6119 alpha=60.00 beta=60.00 gamma=60.00
Atoms (fractional coordinates):
1 Ba 0.0000 0.0000 0.0000
2 Li 0.1393 0.6202 0.6202
3 Li 0.6202 0.1393 0.6202
4 Li 0.6202 0.6202 0.1393
5 Li 0.6202 0.6202 0.6202
6 Tc 0.2500 0.2500 0.2500

## Properties
Space-group type: No. 216
Density: 3.496 g cm⁻³
ΔH_f (0 K): 3.07 eV/f.u.

=====

Calculated total magnetic moment in order - 0.00 5.28 1.96 6.80 0.00 0.00 0.24 0.00 3.25 0.00 1.63 1.10 μB per formula unit
Calculated DOS at the Fermi energy in order - 0.451 0.708 1.222 0.815 1.029 0.000 1.086 0.318 0.784 0.641 1.118 1.268 states/eV/atom
Calculated electronic total energy in order - -2.7380 -8.4313 -7.0404 -6.2286 -6.9048 -3.4825 -2.8794 -6.0109 -5.7774 -5.4806 -5.3803 -2.8129 eV/atom